Record 1
Entry from Alexandria via LeMat-Bulk: an optimized crystal structure of PuSbS2O (GGA-PBE).

The raw formation energy comes out at -139.5 kJ/mol of atoms. The calculation puts the total moment at 9.9 Bohr magnetons per cell. For the total energy, the calculation gives -0.286 Ha/atom. Its density is 7.13 g cm⁻³.

It has space group P4/nmm (No. 129, origin choice 2), with a = 3.912 Å, b = 3.912 Å, c = 13.564 Å, α = 90.00°, β = 90.00° and γ = 90.00°. The inequivalent atoms are Pu at (0.250, 0.250, 0.091), Sb at (0.250, 0.250, 0.630), S at (0.250, 0.250, 0.381), S at (0.250, 0.250, 0.812) and O at (0.250, 0.750, 0.000).

Record 2
Entry from Alexandria via LeMat-Bulk: an optimized crystal structure of SmPuSO2 (GGA-PBE).

The raw formation energy comes out at -263.9 kJ/mol of atoms. The calculation puts the total moment at 10.0 Bohr magnetons per cell. For the total energy, the calculation gives -0.344 Ha/atom. Its density is 8.53 g cm⁻³.

It has space group I4mm (No. 107), with a = 3.827 Å, b = 3.827 Å, c = 12.180 Å, α = 90.00°, β = 90.00° and γ = 90.00°. The inequivalent atoms are Sm at (0.000, 0.000, 0.000), Pu at (0.000, 0.000, 0.706), S at (0.000, 0.000, 0.353) and O at (0.000, 0.500, 0.103).

Record 3
Entry from Alexandria via LeMat-Bulk: an optimized crystal structure of SmPuS2O (GGA-PBE).

The raw formation energy comes out at -222.6 kJ/mol of atoms. The calculation puts the total moment at 9.5 Bohr magnetons per cell. For the total energy, the calculation gives -0.322 Ha/atom. Its density is 7.41 g cm⁻³.

It has space group P4/nmm (No. 129, origin choice 2), with a = 3.903 Å, b = 3.903 Å, c = 13.970 Å, α = 90.00°, β = 90.00° and γ = 90.00°. The inequivalent atoms are Sm at (0.250, 0.250, 0.123), Pu at (0.250, 0.250, 0.588), S at (0.250, 0.250, 0.313), S at (0.250, 0.250, 0.907) and O at (0.250, 0.750, 0.500).

Record 4
Entry from Alexandria via LeMat-Bulk: an optimized crystal structure of SrPuSO2 (GGA-PBE).

The raw formation energy comes out at -252.7 kJ/mol of atoms. The calculation puts the total moment at 4.0 Bohr magnetons per cell. For the total energy, the calculation gives -0.317 Ha/atom. Its density is 6.40 g cm⁻³.

It has space group P4mm (No. 99), with a = 4.248 Å, b = 4.248 Å, c = 5.687 Å, α = 90.00°, β = 90.00° and γ = 90.00°. The inequivalent atoms are Sr at (0.000, 0.000, 0.000), Pu at (0.500, 0.500, 0.362), S at (0.500, 0.500, 0.848) and O at (0.000, 0.500, 0.292).